# Cs2PaAgO4 GGA-PBE relaxed
# Size of the total moment = 0.000 Bohr magnetons per cell
# E_form (uncorrected) = -1947 meV/atom
# Final energy = -98.92 eV for the cell shown
data_Cs2PaAgO4
_chemical_formula_sum 'Cs4 Pa2 Ag2 O8'
_cell_length_a 6.6730
_cell_length_b 6.6730
_cell_length_c 8.7146
_cell_angle_alpha 90.00
_cell_angle_beta 90.00
_cell_angle_gamma 90.00
_symmetry_space_group_name_H-M 'I -4'
_symmetry_Int_Tables_number 82
_symmetry_space_group_name_Hall 'I -4'
loop_
_atom_site_label
_atom_site_type_symbol
_atom_site_fract_x
_atom_site_fract_y
_atom_site_fract_z
_atom_site_occupancy
Cs1 Cs 0.0000 0.0000 0.0000 1
Cs2 Cs 0.0000 0.5000 0.2500 1
Pa1 Pa 0.0000 0.0000 0.5000 1
Ag1 Ag 0.0000 0.5000 0.7500 1
O1 O 0.1492 0.7812 0.6234 1



# CsPaAgO4 GGA-PBE relaxed
# Size of the total moment = 3.856 Bohr magnetons per cell
# E_form (uncorrected) = -2060 meV/atom
# Final energy = -189.82 eV for the cell shown
data_CsPaAgO4
_chemical_formula_sum 'Cs4 Pa4 Ag4 O16'
_cell_length_a 6.7144
_cell_length_b 7.0307
_cell_length_c 12.0288
_cell_angle_alpha 90.00
_cell_angle_beta 90.00
_cell_angle_gamma 90.00
_symmetry_space_group_name_H-M 'I m m a'
_symmetry_Int_Tables_number 74
_symmetry_space_group_name_Hall '-I 2b 2'
loop_
_atom_site_label
_atom_site_type_symbol
_atom_site_fract_x
_atom_site_fract_y
_atom_site_fract_z
_atom_site_occupancy
Cs1 Cs 0.0000 0.2500 0.1690 1
Pa1 Pa 0.0000 0.0000 0.5000 1
Ag1 Ag 0.2500 0.2500 0.7500 1
O1 O 0.0000 0.0601 0.6834 1
O2 O 0.1912 0.2500 0.4845 1



# CsAgPdO2 GGA-PBE relaxed
# Size of the total moment = 0.000 Bohr magnetons per cell
# E_form (uncorrected) = -533 meV/atom
# Final energy = -85.92 eV for the cell shown
data_CsAgPdO2
_chemical_formula_sum 'Cs4 Ag4 Pd4 O8'
_cell_length_a 6.3078
_cell_length_b 14.1093
_cell_length_c 4.7510
_cell_angle_alpha 90.00
_cell_angle_beta 90.00
_cell_angle_gamma 90.00
_symmetry_space_group_name_H-M 'C m m e'
_symmetry_Int_Tables_number 67
_symmetry_space_group_name_Hall '-C 2a 2'
loop_
_atom_site_label
_atom_site_type_symbol
_atom_site_fract_x
_atom_site_fract_y
_atom_site_fract_z
_atom_site_occupancy
Cs1 Cs 0.0000 0.2500 0.1905 1
Ag1 Ag 0.0000 0.0000 0.0000 1
Pd1 Pd 0.2500 0.0000 0.5000 1
O1 O 0.0000 0.0936 0.5311 1



# Cs2AgPdO GGA-PBE relaxed
# Size of the total moment = 0.626 Bohr magnetons per cell
# E_form (uncorrected) = -372 meV/atom
# Final energy = -16.57 eV for the cell shown
data_Cs2AgPdO
_chemical_formula_sum 'Cs2 Ag1 Pd1 O1'
_cell_length_a 6.4953
_cell_length_b 6.4953
_cell_length_c 3.9090
_cell_angle_alpha 90.00
_cell_angle_beta 90.00
_cell_angle_gamma 90.00
_symmetry_space_group_name_H-M 'P 4/m m m'
_symmetry_Int_Tables_number 123
_symmetry_space_group_name_Hall '-P 4 2'
loop_
_atom_site_label
_atom_site_type_symbol
_atom_site_fract_x
_atom_site_fract_y
_atom_site_fract_z
_atom_site_occupancy
Cs1 Cs 0.0000 0.5000 0.0000 1
Ag1 Ag 0.0000 0.0000 0.5000 1
Pd1 Pd 0.5000 0.5000 0.5000 1
O1 O 0.5000 0.5000 0.0000 1



# Cs2PmAg2O4 GGA-PBE relaxed
# Size of the total moment = 0.421 Bohr magnetons per cell
# E_form (uncorrected) = -1258 meV/atom
# Final energy = -86.62 eV for the cell shown
data_Cs2PmAg2O4
_chemical_formula_sum 'Cs4 Pm2 Ag4 O8'
_cell_length_a 15.0099
_cell_length_b 3.6851
_cell_length_c 7.1005
_cell_angle_alpha 90.00
_cell_angle_beta 104.62
_cell_angle_gamma 90.00
_symmetry_space_group_name_H-M 'C 1 2/m 1'
_symmetry_Int_Tables_number 12
_symmetry_space_group_name_Hall '-C 2y'
loop_
_atom_site_label
_atom_site_type_symbol
_atom_site_fract_x
_atom_site_fract_y
_atom_site_fract_z
_atom_site_occupancy
Cs1 Cs 0.1245 0.0000 0.0552 1
Pm1 Pm 0.0000 0.0000 0.5000 1
Ag1 Ag 0.1900 0.5000 0.5456 1
O1 O 0.0313 0.5000 0.3090 1
O2 O 0.1651 0.0000 0.6751 1



# CsPmAgO3 GGA-PBE relaxed
# Size of the total moment = 1.953 Bohr magnetons per cell
# E_form (uncorrected) = -1655 meV/atom
# Final energy = -66.52 eV for the cell shown
data_CsPmAgO3
_chemical_formula_sum 'Cs2 Pm2 Ag2 O6'
_cell_length_a 8.1406
_cell_length_b 3.7374
_cell_length_c 9.8627
_cell_angle_alpha 90.00
_cell_angle_beta 113.25
_cell_angle_gamma 90.00
_symmetry_space_group_name_H-M 'P 1 21/m 1'
_symmetry_Int_Tables_number 11
_symmetry_space_group_name_Hall '-P 2yb'
loop_
_atom_site_label
_atom_site_type_symbol
_atom_site_fract_x
_atom_site_fract_y
_atom_site_fract_z
_atom_site_occupancy
Cs1 Cs 0.2188 0.2500 0.1851 1
Pm1 Pm 0.3290 0.7500 0.8597 1
Ag1 Ag 0.0030 0.2500 0.6240 1
O1 O 0.1324 0.2500 0.8568 1
O2 O 0.1673 0.7500 0.5980 1
O3 O 0.4762 0.7500 0.1140 1



Copy entry 1 word for word.
# Cs2PaAgO4 GGA-PBE relaxed
# Size of the total moment = 0.000 Bohr magnetons per cell
# E_form (uncorrected) = -1947 meV/atom
# Final energy = -98.92 eV for the cell shown
data_Cs2PaAgO4
_chemical_formula_sum 'Cs4 Pa2 Ag2 O8'
_cell_length_a 6.6730
_cell_length_b 6.6730
_cell_length_c 8.7146
_cell_angle_alpha 90.00
_cell_angle_beta 90.00
_cell_angle_gamma 90.00
_symmetry_space_group_name_H-M 'I -4'
_symmetry_Int_Tables_number 82
_symmetry_space_group_name_Hall 'I -4'
loop_
_atom_site_label
_atom_site_type_symbol
_atom_site_fract_x
_atom_site_fract_y
_atom_site_fract_z
_atom_site_occupancy
Cs1 Cs 0.0000 0.0000 0.0000 1
Cs2 Cs 0.0000 0.5000 0.2500 1
Pa1 Pa 0.0000 0.0000 0.5000 1
Ag1 Ag 0.0000 0.5000 0.7500 1
O1 O 0.1492 0.7812 0.6234 1



Please write out number 5 again, unchanged.
# Cs2PmAg2O4 GGA-PBE relaxed
# Size of the total moment = 0.421 Bohr magnetons per cell
# E_form (uncorrected) = -1258 meV/atom
# Final energy = -86.62 eV for the cell shown
data_Cs2PmAg2O4
_chemical_formula_sum 'Cs4 Pm2 Ag4 O8'
_cell_length_a 15.0099
_cell_length_b 3.6851
_cell_length_c 7.1005
_cell_angle_alpha 90.00
_cell_angle_beta 104.62
_cell_angle_gamma 90.00
_symmetry_space_group_name_H-M 'C 1 2/m 1'
_symmetry_Int_Tables_number 12
_symmetry_space_group_name_Hall '-C 2y'
loop_
_atom_site_label
_atom_site_type_symbol
_atom_site_fract_x
_atom_site_fract_y
_atom_site_fract_z
_atom_site_occupancy
Cs1 Cs 0.1245 0.0000 0.0552 1
Pm1 Pm 0.0000 0.0000 0.5000 1
Ag1 Ag 0.1900 0.5000 0.5456 1
O1 O 0.0313 0.5000 0.3090 1
O2 O 0.1651 0.0000 0.6751 1